The following is a DFT calculation (meta-GGA SCAN) of a PBEsol-optimized structure of TlHgPb2.

The structure belongs to space group Pmmm (No. 47); the cell edges are 3.6525, 5.4927 and 5.5267 Å and the angles 90.00°, 90.00° and 90.00°. The asymmetric unit holds Tl at (0.0000, 0.0000, 0.0000), Hg at (0.5000, 0.0000, 0.5000), Pb at (0.0000, 0.5000, 0.5000) and Pb at (0.5000, 0.5000, 0.0000).

The total energy is -73.00 eV per atom. The total magnetization is 0.00 μB/f.u. The formation energy from the elements is 0.0236 eV per atom.